[1]
# Nd2CdSb3Pt4 PBE-GGA optimized geometry
data_Nd2CdSb3Pt4
_chemical_formula_sum 'Nd2 Cd1 Sb3 Pt4'
_cell_length_a 4.511
_cell_length_b 4.511
_cell_length_c 11.093
_cell_angle_alpha 90.00
_cell_angle_beta 90.00
_cell_angle_gamma 90.00
_symmetry_space_group_name_H-M 'P 1'
_symmetry_Int_Tables_number 1
loop_
_symmetry_equiv_pos_as_xyz
'x,y,z'
loop_
_atom_site_label
_atom_site_fract_x
_atom_site_fract_y
_atom_site_fract_z
Nd1 0.000 0.500 0.235
Nd2 0.500 0.000 0.765
Cd1 0.000 0.000 0.500
Sb1 0.000 0.500 0.869
Sb2 0.500 0.000 0.131
Sb3 0.500 0.500 0.500
Pt1 0.000 0.000 0.000
Pt2 0.000 0.500 0.638
Pt3 0.500 0.000 0.362
Pt4 0.500 0.500 0.000
# total magnetization	0.00	μB/f.u.
# D(E_F)	0.44	states/eV per atom
# E_form (uncorrected)	-0.7978	eV/atom
# volume	226	Å³ per cell
# symmetry	P-4m2 (115)
# calculated total energy	-0.2020	Ha/atom
# crystal system	tetragonal



[2]
# NdScCdPt PBE-GGA optimized geometry
data_NdScCdPt
_chemical_formula_sum 'Nd1 Sc1 Cd1 Pt1'
_cell_length_a 5.057
_cell_length_b 5.057
_cell_length_c 5.057
_cell_angle_alpha 60.00
_cell_angle_beta 60.00
_cell_angle_gamma 60.00
_symmetry_space_group_name_H-M 'P 1'
_symmetry_Int_Tables_number 1
loop_
_symmetry_equiv_pos_as_xyz
'x,y,z'
loop_
_atom_site_label
_atom_site_fract_x
_atom_site_fract_y
_atom_site_fract_z
Nd1 0.000 0.000 0.000
Sc1 0.500 0.500 0.500
Cd1 0.750 0.750 0.750
Pt1 0.250 0.250 0.250
# total magnetization	0.00	μB/f.u.
# D(E_F)	1.00	states/eV per atom
# volume	91	Å³ per cell
# symmetry	F-43m (216)
# energy of formation from the pure elements	-2.5	eV/f.u.
# calculated total energy	-0.1884	Ha/atom
# crystal system	cubic



Copy entry 2 word for word.
# NdScCdPt PBE-GGA optimized geometry
data_NdScCdPt
_chemical_formula_sum 'Nd1 Sc1 Cd1 Pt1'
_cell_length_a 5.057
_cell_length_b 5.057
_cell_length_c 5.057
_cell_angle_alpha 60.00
_cell_angle_beta 60.00
_cell_angle_gamma 60.00
_symmetry_space_group_name_H-M 'P 1'
_symmetry_Int_Tables_number 1
loop_
_symmetry_equiv_pos_as_xyz
'x,y,z'
loop_
_atom_site_label
_atom_site_fract_x
_atom_site_fract_y
_atom_site_fract_z
Nd1 0.000 0.000 0.000
Sc1 0.500 0.500 0.500
Cd1 0.750 0.750 0.750
Pt1 0.250 0.250 0.250
# total magnetization	0.00	μB/f.u.
# D(E_F)	1.00	states/eV per atom
# volume	91	Å³ per cell
# symmetry	F-43m (216)
# energy of formation from the pure elements	-2.5	eV/f.u.
# calculated total energy	-0.1884	Ha/atom
# crystal system	cubic



- volume of number 1 (Nd2CdSb3Pt4)?
  226 Å³ per cell



- D(E_F) of number 1 (Nd2CdSb3Pt4)?
  0.44 states/eV per atom